Record 1
## MnAsIr2 (PBE-GGA)

Data for a geometry-optimized MnAsIr2 structure.

Properties
- energy relative to the elements (kJ/mol of atoms) = 29.7
- V (Å³ per atom) = 14.9
- total DFT energy (no corrections) (eV/atom) = -7.58
- symmetry = Cmm2 (35)

Cell lengths 2.7983, 2.7983, 8.8110 Å; angles 90.00, 90.00, 120.06 degrees
Element x y z (fractional)
Mn 0.0000 0.0000 0.0000
As 0.5000 0.5000 0.7576
Ir 0.0000 0.0000 0.5103
Ir 0.5000 0.5000 0.2425

***

Record 2
## LiCaSb2 (PBE-GGA)

Data for a geometry-optimized LiCaSb2 structure.

Properties
- formation energy from raw total energies (meV/atom) = -621.8
- V (Å³ per atom) = 25.4
- energy relative to the lowest polymorph listed for this composition (eV per atom) = 0.000
- total DFT energy (no corrections) (eV/atom) = -3.66
- symmetry = P4/mmm (123)

Cell lengths 4.8091, 4.8091, 4.4010 Å; angles 90.00, 90.00, 90.00 degrees
Element x y z (fractional)
Li 0.0000 0.0000 0.0000
Ca 0.5000 0.5000 0.0000
Sb 0.0000 0.5000 0.5000
Sb 0.5000 0.0000 0.5000